No. 1
Ti3CdH3 after structural relaxation. Source: Alexandria via LeMat-Bulk, functional GGA-PBE.

- Space-group type: R-3, No. 148
- E above lowest polymorph: 169.7 meV per atom
- Total moment: 0.06 Bohr magnetons per cell
- Final energy: -5.100 eV per atom

a = 5.168 Å, b = 5.168 Å, c = 8.072 Å
α = 71.33°, β = 71.33°, γ = 60.00°
Positions (direct):
Ti 0.446 0.768 0.681
Ti 0.768 0.106 0.681
Ti 0.106 0.446 0.681
Ti 0.894 0.554 0.319
Ti 0.232 0.894 0.319
Ti 0.554 0.232 0.319
Cd 0.333 0.333 0.000
Cd 0.667 0.667 0.000
H 0.189 0.530 0.422
H 0.858 0.189 0.422
H 0.530 0.858 0.422
H 0.470 0.142 0.578
H 0.142 0.811 0.578
H 0.811 0.470 0.578



No. 2
PrGa3NiRh after structural relaxation. Source: Alexandria via LeMat-Bulk, functional GGA-PBE.

- Space-group type: Cmcm, No. 63
- Total moment: 0.00 Bohr magnetons per cell
- Final energy: -4.969 eV per atom

a = 6.288 Å, b = 6.181 Å, c = 6.604 Å
α = 117.90°, β = 90.00°, γ = 90.00°
Positions (direct):
Pr 0.750 0.267 0.533
Pr 0.250 0.733 0.467
Ga 0.250 0.168 0.336
Ga 0.000 0.284 0.000
Ga 0.500 0.716 0.000
Ga 0.500 0.284 0.000
Ga 0.000 0.716 0.000
Ga 0.750 0.832 0.664
Ni 0.250 0.969 0.938
Ni 0.750 0.031 0.062
Rh 0.250 0.373 0.746
Rh 0.750 0.627 0.254